Be2NbReH: optimized geometry, PBE.

Cell lengths 4.2327, 3.3150, 4.2327 Å; angles 90.00, 90.00, 90.00 degrees
Atoms (fractional coordinates):
Re (0.0000, 0.0000, 0.0000)
Nb (0.5000, 0.5000, 0.5000)
H (0.0000, 0.5000, 0.0000)
Be (0.0000, 0.0000, 0.5000)
Be (0.5000, 0.0000, 0.0000)

Calculated values
total DFT energy (no corrections): -6.092 eV/atom
DOS at the Fermi energy: 2.29 states/eV/f.u.